{"formula": "LaMg2Tl", "functional": "PBE", "state": "relaxed", "m_tot_mub_per_cell": 0.0, "ef_ev_per_atom": -0.126, "sg": "Fm-3m (225)", "lattice": [[0.000, 3.741, 3.741], [3.741, 0.000, 3.741], [3.741, 3.741, 0.000]], "species": ["La", "Mg", "Mg", "Tl"], "fractional_positions": [[0.000, 0.000, 0.000], [0.250, 0.250, 0.250], [0.750, 0.750, 0.750], [0.500, 0.500, 0.500]]}